(1)
Density functional theory data (PBE-GGA) for an optimized crystal structure of NbSnMo3.

Output
DFT total energy, eV for the cell shown: -35.732
Energy relative to the elements, eV per atom: 2.1668

a b c (Å): 4.825 4.825 4.825
angles (deg): 90.00 90.00 90.00
Sites, in units of the cell vectors:
Mo: 0.000 0.500 0.000
Mo: 0.000 0.000 0.500
Mo: 0.500 0.000 0.000
Sn: 0.000 0.000 0.000
Nb: 0.500 0.500 0.500

(2)
Density functional theory data (PBE-GGA) for an optimized crystal structure of RbNaBi2.

Output
DFT total energy, eV for the cell shown: -21.223
Energy relative to the elements, eV per atom: -0.1407

a b c (Å): 5.336 5.336 12.141
angles (deg): 77.31 77.31 90.00
Sites, in units of the cell vectors:
Na: 0.500 0.500 0.000
Na: 0.250 0.750 0.500
Bi: 0.543 0.125 0.250
Bi: 0.207 0.625 0.250
Bi: 0.375 0.457 0.750
Bi: 0.875 0.793 0.750
Rb: 0.000 0.000 0.000
Rb: 0.750 0.250 0.500

Question: energy relative to the elements of number 1 (NbSnMo3)?
Answer: 2.1668 eV per atom

Question: What is the formula in the second record?
Answer: RbNaBi2

Question: Which value of DFT total energy does entry 2 give?
Answer: -21.223 eV for the cell shown

Question: Which value of energy relative to the elements does entry 2 give?
Answer: -0.1407 eV per atom